Below is an optimized crystal structure of Ti5IrOs4, with properties calculated at the PBE-GGA level.

The value obtained for the formation energy is -732 meV/atom.

The space group is P4/mmm (No. 123) and the conventional cell measures 3.104, 3.104 and 15.388 Å, with angles of 90.00, 90.00 and 90.00 degrees. The inequivalent atoms are Ti at (0.000, 0.000, 0.000), Ti at (0.000, 0.000, 0.200), Ti at (0.000, 0.000, 0.399), Ir at (0.500, 0.500, 0.500), Os at (0.500, 0.500, 0.100) and Os at (0.500, 0.500, 0.301).

Below is an optimized crystal structure of Ti4IrOs, with properties calculated at the PBE-GGA level.

The value obtained for the formation energy is -604 meV/atom.

The space group is C2/m (No. 12) and the conventional cell measures 10.154, 3.092 and 6.180 Å, with angles of 90.00, 107.76 and 90.00 degrees. The inequivalent atoms are Ti at (0.160, 0.000, 0.327), Ti at (0.160, 0.000, 0.833), Ir at (0.000, 0.500, 0.500) and Os at (0.000, 0.500, 0.000).

Below is an optimized crystal structure of Ti5Ir4Os, with properties calculated at the PBE-GGA level.

The value obtained for the formation energy is -779 meV/atom.

The space group is P4/mmm (No. 123) and the conventional cell measures 3.182, 3.182 and 14.888 Å, with angles of 90.00, 90.00 and 90.00 degrees. The inequivalent atoms are Ti at (0.000, 0.000, 0.000), Ti at (0.000, 0.000, 0.199), Ti at (0.000, 0.000, 0.400), Ir at (0.500, 0.500, 0.099), Ir at (0.500, 0.500, 0.298) and Os at (0.500, 0.500, 0.500).

Below is an optimized crystal structure of TiIr2Os, with properties calculated at the PBE-GGA level.

The value obtained for the formation energy is 61 meV/atom.

The space group is Fm-3m (No. 225) and the conventional cell measures 6.236, 6.236 and 6.236 Å, with angles of 90.00, 90.00 and 90.00 degrees. The inequivalent atoms are Ti at (0.000, 0.000, 0.000), Ir at (0.250, 0.250, 0.250) and Os at (0.000, 0.000, 0.500).

Below is an optimized crystal structure of Ti2Ir2Os, with properties calculated at the PBE-GGA level.

The value obtained for the formation energy is -377 meV/atom.

The space group is P4/mbm (No. 127) and the conventional cell measures 7.286, 7.286 and 2.902 Å, with angles of 90.00, 90.00 and 90.00 degrees. The inequivalent atoms are Ti at (0.167, 0.333, 0.000), Ir at (0.134, 0.634, 0.500) and Os at (0.000, 0.000, 0.500).

Below is an optimized crystal structure of TiIrOs, with properties calculated at the PBE-GGA level.

The value obtained for the formation energy is -442 meV/atom.

The space group is C2/m (No. 12) and the conventional cell measures 14.181, 2.790 and 4.722 Å, with angles of 90.00, 107.47 and 90.00 degrees. The inequivalent atoms are Ti at (0.085, 0.000, 0.272), Ir at (0.086, 0.500, 0.757) and Os at (0.250, 0.000, 0.758).

Below is an optimized crystal structure of TiIr2Os2, with properties calculated at the PBE-GGA level.

The value obtained for the formation energy is -8 meV/atom.

The space group is P4/mbm (No. 127) and the conventional cell measures 7.513, 7.513 and 2.763 Å, with angles of 90.00, 90.00 and 90.00 degrees. The inequivalent atoms are Ti at (0.000, 0.000, 0.000), Ir at (0.175, 0.325, 0.500) and Os at (0.123, 0.623, 0.000).

Below is an optimized crystal structure of Ti4IrOs3, with properties calculated at the PBE-GGA level.

The value obtained for the formation energy is -734 meV/atom.

The space group is P4/mmm (No. 123) and the conventional cell measures 3.109, 3.109 and 12.291 Å, with angles of 90.00, 90.00 and 90.00 degrees. The inequivalent atoms are Ti at (0.000, 0.000, 0.125), Ti at (0.000, 0.000, 0.374), Ir at (0.500, 0.500, 0.500), Os at (0.500, 0.500, 0.000) and Os at (0.500, 0.500, 0.251).

Below is an optimized crystal structure of Ti4IrOs, with properties calculated at the PBE-GGA level.

The value obtained for the formation energy is -300 meV/atom.

The space group is P4/mmm (No. 123) and the conventional cell measures 4.280, 4.280 and 6.029 Å, with angles of 90.00, 90.00 and 90.00 degrees. The inequivalent atoms are Ti at (0.000, 0.500, 0.248), Ir at (0.000, 0.000, 0.500) and Os at (0.500, 0.500, 0.000).

Below is an optimized crystal structure of TiIrOs3, with properties calculated at the PBE-GGA level.

The value obtained for the formation energy is 1978 meV/atom.

The space group is Pm-3m (No. 221) and the conventional cell measures 4.452, 4.452 and 4.452 Å, with angles of 90.00, 90.00 and 90.00 degrees. The inequivalent atoms are Ti at (0.000, 0.000, 0.000), Ir at (0.500, 0.500, 0.500) and Os at (0.000, 0.000, 0.500).

Below is an optimized crystal structure of TiIr2Os, with properties calculated at the PBE-GGA level.

The value obtained for the formation energy is 169 meV/atom.

The space group is I-42d (No. 122) and the conventional cell measures 3.819, 3.819 and 17.715 Å, with angles of 90.00, 90.00 and 90.00 degrees. The inequivalent atoms are Ti at (0.000, 0.000, 0.000), Ir at (0.249, 0.250, 0.625) and Os at (0.000, 0.000, 0.500).

Below is an optimized crystal structure of TiIr2Os, with properties calculated at the PBE-GGA level.

The value obtained for the formation energy is -519 meV/atom.

The space group is P4/mmm (No. 123) and the conventional cell measures 3.891, 3.891 and 3.848 Å, with angles of 90.00, 90.00 and 90.00 degrees. The inequivalent atoms are Ti at (0.000, 0.000, 0.000), Ir at (0.000, 0.500, 0.500) and Os at (0.500, 0.500, 0.000).